Entry 1:
A relaxed structure of Gd2ScPb. Source: the Alexandria database, functional GGA-PBE.

```
Gd2ScPb
1.0
-3.200 -0.184 2.663
0.001 -4.158 -0.286
4.184 -0.344 5.005
Sc Gd Pb
1 2 1
Direct
0.500 0.500 0.000
0.000 0.000 0.256
0.000 0.000 0.744
0.500 0.500 0.500
```

Calculated values
E above lowest polymorph	44	meV per atom
SG	P4/mmm
total energy	-9.807	eV per atom
magnetization	14.99	μB per cell



Entry 2:
A relaxed structure of Gd2ScPb. Source: the Alexandria database, functional GGA-PBE.

```
Gd2ScPb
1.0
-3.140 1.099 -4.290
-5.403 -0.290 0.445
-2.979 4.538 -0.093
Gd Pb Sc
2 1 1
Direct
0.750 0.750 0.750
0.250 0.250 0.250
0.000 0.000 0.000
0.500 0.500 0.500
```

Calculated values
E above lowest polymorph	145	meV per atom
SG	Fm-3m
total energy	-9.706	eV per atom
magnetization	15.86	μB per cell



Entry 3:
A relaxed structure of GdScPb2. Source: the Alexandria database, functional GGA-PBE.

```
GdScPb2
1.0
4.449 0.000 0.000
0.000 4.903 0.000
0.000 0.000 4.903
Pb Gd Sc
2 1 1
Direct
0.000 0.000 0.500
0.000 0.500 0.000
0.500 0.500 0.500
0.500 0.000 0.000
```

Calculated values
E above lowest polymorph	1	meV per atom
SG	P4/mmm
total energy	-7.353	eV per atom
magnetization	7.99	μB per cell



Entry 4:
A relaxed structure of Gd2ScPb. Source: the Alexandria database, functional GGA-PBE.

```
Gd2ScPb
1.0
-0.771 -0.967 3.256
1.590 -2.753 1.422
8.800 5.808 5.670
Gd Pb Sc
2 1 1
Direct
0.091 0.091 0.727
0.909 0.909 0.273
0.000 0.000 0.000
0.500 0.500 0.500
```

Calculated values
E above lowest polymorph	367	meV per atom
SG	R-3m
total energy	-9.483	eV per atom
magnetization	14.36	μB per cell



Entry 5:
A relaxed structure of GdScPb2. Source: the Alexandria database, functional GGA-PBE.

```
GdScPb2
1.0
3.966 0.000 0.000
0.000 3.966 0.000
0.000 0.000 6.831
Pb Sc Gd
2 1 1
Direct
0.000 0.000 0.768
0.000 0.000 0.232
0.500 0.500 0.000
0.500 0.500 0.500
```

Calculated values
E above lowest polymorph	13	meV per atom
SG	P4/mmm
total energy	-7.341	eV per atom
magnetization	7.89	μB per cell



Entry 6:
A relaxed structure of GdScTlPb. Source: the Alexandria database, functional GGA-PBE.

```
GdScTlPb
1.0
5.311 0.000 0.000
2.656 4.600 0.000
2.656 1.533 4.337
Gd Sc Pb Tl
1 1 1 1
Direct
0.500 0.500 0.500
0.000 0.000 0.000
0.250 0.250 0.250
0.750 0.750 0.750
```

Calculated values
SG	F-43m
total energy	-6.943	eV per atom
magnetization	7.28	μB per cell



Entry 7:
A relaxed structure of Gd2PbSe. Source: the Alexandria database, functional GGA-PBE.

```
Gd2PbSe
1.0
-2.805 -0.043 -2.195
-2.032 -1.297 2.622
-1.903 7.592 2.281
Pb Gd Se
1 2 1
Direct
0.500 0.500 0.500
0.000 0.000 0.777
0.000 0.000 0.223
0.500 0.500 0.000
```

Calculated values
E above lowest polymorph	95	meV per atom
SG	P4/mmm
total energy	-9.889	eV per atom
magnetization	15.27	μB per cell



Entry 8:
A relaxed structure of GdPbSe2. Source: the Alexandria database, functional GGA-PBE.

```
GdPbSe2
1.0
4.060 0.000 0.000
2.030 3.516 0.000
2.030 1.172 8.234
Gd Se Pb
1 2 1
Direct
0.500 0.500 0.500
0.234 0.234 0.297
0.766 0.766 0.703
0.000 0.000 0.000
```

Calculated values
SG	R-3m
total energy	-7.336	eV per atom
magnetization	7.04	μB per cell



Entry 9:
A relaxed structure of Gd2PbSe. Source: the Alexandria database, functional GGA-PBE.

```
Gd2PbSe
1.0
4.262 0.000 0.000
2.131 3.691 0.000
2.131 1.230 7.234
Se Gd Pb
1 2 1
Direct
0.000 0.000 0.000
0.256 0.256 0.233
0.744 0.744 0.767
0.500 0.500 0.500
```

Calculated values
E above lowest polymorph	0	meV per atom
SG	R-3m
total energy	-9.984	eV per atom
magnetization	13.92	μB per cell



Entry 10:
A relaxed structure of SmGdPb2. Source: the Alexandria database, functional GGA-PBE.

```
SmGdPb2
1.0
-3.030 1.628 -0.929
-0.769 -2.690 -2.206
-4.370 -4.282 6.747
Gd Pb Sm
1 2 1
Direct
0.500 0.500 0.000
0.000 0.000 0.752
0.000 0.000 0.248
0.500 0.500 0.500
```

Calculated values
SG	P4/mmm
total energy	-7.063	eV per atom
magnetization	7.37	μB per cell



Entry 11:
A relaxed structure of SmGdPb2. Source: the Alexandria database, functional GGA-PBE.

```
SmGdPb2
1.0
4.096 0.000 0.000
2.048 3.547 0.000
2.048 1.182 8.784
Sm Pb Gd
1 2 1
Direct
0.000 0.000 0.000
0.249 0.249 0.252
0.751 0.751 0.748
0.500 0.500 0.500
```

Calculated values
SG	R-3m
total energy	-6.939	eV per atom
magnetization	7.12	μB per cell



Entry 12:
A relaxed structure of SmGdPb2. Source: the Alexandria database, functional GGA-PBE.

```
SmGdPb2
1.0
4.523 0.000 0.000
0.000 5.066 0.000
0.000 0.000 5.066
Gd Sm Pb
1 1 2
Direct
0.500 0.500 0.500
0.500 0.000 0.000
0.000 0.000 0.500
0.000 0.500 0.000
```

Calculated values
SG	P4/mmm
total energy	-7.053	eV per atom
magnetization	7.95	μB per cell



Entry 13:
A relaxed structure of SmGdTlPb. Source: the Alexandria database, functional GGA-PBE.

```
SmGdTlPb
1.0
5.474 0.000 0.000
2.737 4.741 0.000
2.737 1.580 4.470
Sm Pb Tl Gd
1 1 1 1
Direct
0.750 0.750 0.750
0.500 0.500 0.500
0.000 0.000 0.000
0.250 0.250 0.250
```

Calculated values
SG	F-43m
total energy	-6.623	eV per atom
magnetization	7.16	μB per cell



Entry 14:
A relaxed structure of Gd2SnPb. Source: the Alexandria database, functional GGA-PBE.

```
Gd2SnPb
1.0
5.445 0.000 0.000
2.722 4.715 0.000
2.722 1.572 4.446
Gd Sn Pb
2 1 1
Direct
0.750 0.750 0.750
0.250 0.250 0.250
0.500 0.500 0.500
0.000 0.000 0.000
```

Calculated values
E above lowest polymorph	96	meV per atom
SG	Fm-3m
total energy	-9.490	eV per atom
magnetization	14.58	μB per cell



Entry 15:
A relaxed structure of Gd2SnPb. Source: the Alexandria database, functional GGA-PBE.

```
Gd2SnPb
1.0
-0.915 1.561 3.604
-0.276 -2.403 3.227
8.123 0.938 3.912
Sn Gd Pb
1 2 1
Direct
0.000 0.000 0.000
0.253 0.253 0.242
0.747 0.747 0.758
0.500 0.500 0.500
```

Calculated values
E above lowest polymorph	158	meV per atom
SG	R-3m
total energy	-9.427	eV per atom
magnetization	14.32	μB per cell



Entry 16:
A relaxed structure of GdSnPb2. Source: the Alexandria database, functional GGA-PBE.

```
GdSnPb2
1.0
-3.669 -1.421 -2.873
1.420 -4.590 0.457
-2.840 -0.493 3.871
Gd Pb Sn
1 2 1
Direct
0.500 0.500 0.500
0.000 0.500 0.000
0.000 0.000 0.500
0.500 0.000 0.000
```

Calculated values
E above lowest polymorph	0	meV per atom
SG	P4/mmm
total energy	-6.748	eV per atom
magnetization	6.87	μB per cell



Entry 17:
A relaxed structure of GdSnPb2. Source: the Alexandria database, functional GGA-PBE.

```
GdSnPb2
1.0
5.533 0.000 0.000
2.766 4.791 0.000
2.766 1.597 4.516
Sn Pb Gd
1 2 1
Direct
0.000 0.000 0.000
0.750 0.750 0.750
0.250 0.250 0.250
0.500 0.500 0.500
```

Calculated values
E above lowest polymorph	245	meV per atom
SG	Fm-3m
total energy	-6.503	eV per atom
magnetization	7.13	μB per cell



Entry 18:
A relaxed structure of Gd2SnPb. Source: the Alexandria database, functional GGA-PBE.

```
Gd2SnPb
1.0
4.504 0.000 0.000
0.000 4.973 0.000
0.000 0.000 4.973
Sn Gd Pb
1 2 1
Direct
0.500 0.000 0.000
0.000 0.000 0.500
0.000 0.500 0.000
0.500 0.500 0.500
```

Calculated values
E above lowest polymorph	18	meV per atom
SG	P4/mmm
total energy	-9.567	eV per atom
magnetization	14.84	μB per cell



Entry 19:
A relaxed structure of GdSnPb2. Source: the Alexandria database, functional GGA-PBE.

```
GdSnPb2
1.0
4.182 0.000 0.000
0.000 4.182 0.000
0.000 0.000 6.601
Pb Gd Sn
2 1 1
Direct
0.000 0.000 0.753
0.000 0.000 0.247
0.500 0.500 0.500
0.500 0.500 0.000
```

Calculated values
E above lowest polymorph	123	meV per atom
SG	P4/mmm
total energy	-6.625	eV per atom
magnetization	7.29	μB per cell



Entry 20:
A relaxed structure of Gd2SnPb. Source: the Alexandria database, functional GGA-PBE.

```
Gd2SnPb
1.0
3.496 0.000 0.000
0.000 3.496 0.000
0.000 0.000 9.048
Gd Sn Pb
2 1 1
Direct
0.000 0.000 0.242
0.000 0.000 0.758
0.500 0.500 0.000
0.500 0.500 0.500
```

Calculated values
E above lowest polymorph	0	meV per atom
SG	P4/mmm
total energy	-9.586	eV per atom
magnetization	15.14	μB per cell